--- A ---
CaCr2Sb2 | PBE-GGA | relaxed

- Space-group type: I4/mmm
- DOS at the Fermi energy: 1.2 states/eV per cell
- Size of the total moment: 0.00 μB per atom

Lattice parameters (Å, degrees): 4.9732 4.9732 5.5412 63.34 63.34 90.00
With the nearest neighbours (Å) after each atom.
Element x y z (fractional)
Sb 0.7500 0.2500 0.5000  4 Cr 2.77
Sb 0.2500 0.7500 0.5000  4 Cr 2.77
Ca 0.0000 0.0000 0.0000  8 Sb 3.28, 10 Cr 3.36-3.64
Cr 0.3923 0.3923 0.2155  1 Cr 1.85
Cr 0.6077 0.6077 0.7845  1 Cr 1.85

--- B ---
CaCr2Sb2 | PBE-GGA | relaxed

- Space-group type: I4/mmm
- DOS at the Fermi energy: 3.2 states/eV per cell
- Size of the total moment: 0.00 μB per atom

Lattice parameters (Å, degrees): 3.6637 3.6637 8.3401 77.31 77.31 90.00
With the nearest neighbours (Å) after each atom.
Element x y z (fractional)
Sb 0.3717 0.3717 0.2566  4 Cr 2.66
Sb 0.6283 0.6283 0.7434  4 Cr 2.66
Ca 0.0000 0.0000 0.0000  8 Sb 3.29, 4 Ca 3.66
Cr 0.7500 0.2500 0.5000  4 Cr 2.59, 4 Sb 2.66
Cr 0.2500 0.7500 0.5000  4 Cr 2.59, 4 Sb 2.66

A takes first place; second place is 2.4 kJ/mol of atoms up.

--- A ---
CaScCr2 | PBE-GGA | relaxed

- Space-group type: Fm-3m
- DOS at the Fermi energy: 4.8 states/eV per cell
- Size of the total moment: 1.79 μB per atom

Lattice parameters (Å, degrees): 4.9537 4.9537 4.9537 60.00 60.00 60.00
With the nearest neighbours (Å) after each atom.
Element x y z (fractional)
Sc 0.5000 0.5000 0.5000  8 Cr 3.03
Cr 0.2500 0.2500 0.2500  4 Sc 3.03, 4 Ca 3.03
Cr 0.7500 0.7500 0.7500  4 Sc 3.03, 4 Ca 3.03
Ca 0.0000 0.0000 0.0000  8 Cr 3.03

--- B ---
CaScCr2 | PBE-GGA | relaxed

- Space-group type: P4/mmm
- DOS at the Fermi energy: 3.9 states/eV per cell
- Size of the total moment: 1.85 μB per atom

Lattice parameters (Å, degrees): 3.4008 5.0288 5.0288 90.00 90.00 90.00
With the nearest neighbours (Å) after each atom.
Element x y z (fractional)
Sc 0.5000 0.5000 0.0000  8 Cr 3.04
Cr 0.0000 0.0000 0.0000  4 Ca 3.04, 4 Sc 3.04
Cr 0.0000 0.5000 0.5000  4 Ca 3.04, 4 Sc 3.04
Ca 0.5000 0.0000 0.5000  8 Cr 3.04

B takes first place; second place is 0.8 kJ/mol of atoms up.

--- A ---
CaSc3Cr | PBE-GGA | relaxed

- Space-group type: Pm-3m
- DOS at the Fermi energy: 4.5 states/eV per cell
- Size of the total moment: 0.24 μB per atom

Lattice parameters (Å, degrees): 5.0489 5.0489 5.0489 90.00 90.00 90.00
With the nearest neighbours (Å) after each atom.
Element x y z (fractional)
Sc 0.0000 0.5000 0.0000  2 Cr 2.52
Sc 0.0000 0.0000 0.5000  2 Cr 2.52
Sc 0.5000 0.0000 0.0000  2 Cr 2.52
Cr 0.0000 0.0000 0.0000  6 Sc 2.52
Ca 0.5000 0.5000 0.5000  12 Sc 3.57

--- B ---
CaSc3Cr | PBE-GGA | relaxed

- Space-group type: Pm-3m
- DOS at the Fermi energy: 10.6 states/eV per cell
- Size of the total moment: 0.10 μB per atom

Lattice parameters (Å, degrees): 4.9485 4.9485 4.9485 90.00 90.00 90.00
With the nearest neighbours (Å) after each atom.
Element x y z (fractional)
Sc 0.0000 0.5000 0.0000  2 Ca 2.47
Sc 0.0000 0.0000 0.5000  2 Ca 2.47
Sc 0.5000 0.0000 0.0000  2 Ca 2.47
Cr 0.5000 0.5000 0.5000  12 Sc 3.50
Ca 0.0000 0.0000 0.0000  6 Sc 2.47

A takes first place; second place is 146.7 kJ/mol of atoms up.

--- A ---
Ca3ScCr | PBE-GGA | relaxed

- Space-group type: Pm-3m
- DOS at the Fermi energy: 20.7 states/eV per cell
- Size of the total moment: 1.14 μB per atom

Lattice parameters (Å, degrees): 5.8798 5.8798 5.8798 90.00 90.00 90.00
With the nearest neighbours (Å) after each atom.
Element x y z (fractional)
Sc 0.0000 0.0000 0.0000  6 Ca 2.94
Cr 0.5000 0.5000 0.5000  12 Ca 4.16
Ca 0.0000 0.5000 0.0000  2 Sc 2.94
Ca 0.0000 0.0000 0.5000  2 Sc 2.94
Ca 0.5000 0.0000 0.0000  2 Sc 2.94

--- B ---
Ca3ScCr | PBE-GGA | relaxed

- Space-group type: Pm-3m
- DOS at the Fermi energy: 4.8 states/eV per cell
- Size of the total moment: 0.50 μB per atom

Lattice parameters (Å, degrees): 5.6366 5.6366 5.6366 90.00 90.00 90.00
With the nearest neighbours (Å) after each atom.
Element x y z (fractional)
Sc 0.5000 0.5000 0.5000  12 Ca 3.99
Cr 0.0000 0.0000 0.0000  6 Ca 2.82
Ca 0.0000 0.5000 0.0000  2 Cr 2.82
Ca 0.0000 0.0000 0.5000  2 Cr 2.82
Ca 0.5000 0.0000 0.0000  2 Cr 2.82

B takes first place; second place is 49.2 kJ/mol of atoms up.

--- A ---
CaCrSe2 | PBE-GGA | relaxed

- Space-group type: P4/mmm
- DOS at the Fermi energy: 0.9 states/eV per cell
- Size of the total moment: 1.00 μB per atom

Lattice parameters (Å, degrees): 7.7762 4.9158 3.4857 89.97 63.40 129.21
With the nearest neighbours (Å) after each atom.
Element x y z (fractional)
Cr 0.5000 0.5000 0.0000  8 Se 3.01
Ca 0.0000 0.5000 0.5000  8 Se 3.01
Se 0.0000 0.0000 0.0000  4 Cr 3.01, 4 Ca 3.01
Se 0.5000 0.0000 0.5000  4 Ca 3.01, 4 Cr 3.01

--- B ---
CaCrSe2 | PBE-GGA | relaxed

- Space-group type: Cmmm
- DOS at the Fermi energy: 0.1 states/eV per cell
- Size of the total moment: 1.00 μB per atom

Lattice parameters (Å, degrees): 4.1101 4.1101 7.3555 90.00 90.00 123.30
With the nearest neighbours (Å) after each atom.
Element x y z (fractional)
Cr 0.5000 0.5000 0.7500  4 Se 2.56
Ca 0.5000 0.5000 0.2500  4 Se 2.81
Se 0.0000 0.0000 0.9758  2 Cr 2.56, 2 Ca 2.81
Se 0.0000 0.0000 0.5242  2 Cr 2.56, 2 Ca 2.81

B takes first place; second place is 5.6 kJ/mol of atoms up.

--- A ---
Ca2CrSi | PBE-GGA | relaxed

- Space-group type: Amm2
- DOS at the Fermi energy: 2.4 states/eV per cell
- Size of the total moment: 0.97 μB per atom

Lattice parameters (Å, degrees): 4.3269 4.4997 5.8613 67.43 90.00 90.00
With the nearest neighbours (Å) after each atom.
Element x y z (fractional)
Ca 0.0000 0.9838 0.9074  3 Cr 3.07-3.32, 4 Si 3.25
Ca 0.5000 0.2710 0.3329  3 Si 3.15-3.21, 4 Cr 3.28
Cr 0.0000 0.6773 0.5201  2 Si 2.47
Si 0.5000 0.5679 0.7395  2 Cr 2.47

--- B ---
Ca2CrSi | PBE-GGA | relaxed

- Space-group type: P4/mmm
- DOS at the Fermi energy: 2.1 states/eV per cell
- Size of the total moment: 1.15 μB per atom

Lattice parameters (Å, degrees): 3.6962 3.6962 7.2078 90.00 90.00 90.00
With the nearest neighbours (Å) after each atom.
Element x y z (fractional)
Ca 0.0000 0.0000 0.9837  4 Si 3.11, 4 Cr 3.24, 1 Ca 3.37
Ca 0.0000 0.0000 0.5163  4 Si 3.11, 4 Cr 3.24, 1 Ca 3.37
Cr 0.5000 0.5000 0.2500  8 Ca 3.24, 2 Si 3.60
Si 0.5000 0.5000 0.7500  8 Ca 3.11

--- C ---
Ca2CrSi | PBE-GGA | relaxed

- Space-group type: Imm2
- DOS at the Fermi energy: 2.9 states/eV per cell
- Size of the total moment: 0.86 μB per atom

Lattice parameters (Å, degrees): 6.0035 6.0035 5.0308 65.21 65.21 36.95
With the nearest neighbours (Å) after each atom.
Element x y z (fractional)
Ca 0.9671 0.9671 0.0329  4 Si 3.23-3.55, 4 Ca 3.29-3.54, 4 Cr 3.30
Ca 0.7593 0.7593 0.7407  4 Si 3.19, 2 Cr 3.22, 4 Ca 3.29-3.54
Cr 0.5620 0.5620 0.4380  2 Si 2.44
Si 0.2117 0.2117 0.2884  2 Cr 2.44

--- D ---
Ca2CrSi | PBE-GGA | relaxed

- Space-group type: C2/m
- DOS at the Fermi energy: 1.7 states/eV per cell
- Size of the total moment: 1.10 μB per atom

Lattice parameters (Å, degrees): 4.9477 4.9477 6.6800 82.04 82.04 40.37
With the nearest neighbours (Å) after each atom.
Element x y z (fractional)
Ca 0.9885 0.9885 0.0199  3 Si 3.03-3.06, 3 Cr 3.06-3.28
Ca 0.5115 0.5115 0.4801  3 Si 3.03-3.06, 3 Cr 3.06-3.28
Cr 0.7500 0.7500 0.7500  6 Ca 3.06-3.28, 2 Cr 3.41
Si 0.2500 0.2500 0.2500  6 Ca 3.03-3.06

A takes first place; second place is 6.3 kJ/mol of atoms up.